1.
# TmUTe6

A crystal of TmUTe6 relaxed with PBEsol (meta-GGA SCAN, the Alexandria database). Values from VASP.

SG = Amm2 (38)
Crystal system = orthorhombic
Fermi-level density of states = 10.5 states/eV/f.u.
Theoretical density = 8.5 g/cm3
Total DFT energy (no corrections) = -48.076 eV/atom
Energy relative to the elements, uncorrected = -718 meV/atom

```
&SYSTEM
  ibrav = 0, nat = 8, ntyp = 3
/
ATOMIC_SPECIES
Te 127.60 Te.upf
U 238.03 U.upf
Tm 168.93 Tm.upf
CELL_PARAMETERS angstrom
4.291 0.000 0.000
0.000 4.305 0.000
-2.146 0.000 12.429
ATOMIC_POSITIONS crystal
Te 0.706 0.000 0.411
U 0.832 0.000 0.665
Te 0.926 0.500 0.852
Te 0.295 0.500 0.591
Te 0.073 0.000 0.146
Te 0.426 0.000 0.852
Te 0.573 0.500 0.147
Tm 0.168 0.500 0.336
```

***

2.
# YTmTe2

A crystal of YTmTe2 relaxed with PBEsol (meta-GGA SCAN, the Alexandria database). Values from VASP.

SG = P4/mmm (123)
Crystal system = tetragonal
Fermi-level density of states = 2.1 states/eV/f.u.
Theoretical density = 7.7 g/cm3
Total DFT energy (no corrections) = -39.901 eV/atom
Energy relative to the elements, uncorrected = -1356 meV/atom

```
&SYSTEM
  ibrav = 0, nat = 4, ntyp = 3
/
ATOMIC_SPECIES
Te 127.60 Te.upf
Tm 168.93 Tm.upf
Y 88.91 Y.upf
CELL_PARAMETERS angstrom
4.265 0.000 0.000
0.000 4.265 0.000
0.000 0.000 6.042
ATOMIC_POSITIONS crystal
Te 0.000 0.000 0.000
Tm 0.000 0.000 0.500
Y 0.500 0.500 0.000
Te 0.500 0.500 0.500
```

***

3.
# U2Te3

A crystal of U2Te3 relaxed with PBEsol (meta-GGA SCAN, the Alexandria database). Values from VASP.

SG = Pnma (62)
Crystal system = orthorhombic
Fermi-level density of states = 15.2 states/eV/f.u.
Theoretical density = 10.2 g/cm3
Total DFT energy (no corrections) = -64.282 eV/atom
Energy relative to the elements, uncorrected = -521 meV/atom

```
&SYSTEM
  ibrav = 0, nat = 20, ntyp = 2
/
ATOMIC_SPECIES
Te 127.60 Te.upf
U 238.03 U.upf
CELL_PARAMETERS angstrom
4.150 0.000 0.000
0.000 11.513 0.000
0.000 0.000 11.724
ATOMIC_POSITIONS crystal
Te 0.750 0.208 0.225
Te 0.750 0.626 0.550
Te 0.250 0.792 0.775
Te 0.250 0.374 0.450
U 0.750 0.507 0.307
Te 0.750 0.874 0.050
Te 0.250 0.056 0.624
Te 0.250 0.126 0.950
U 0.750 0.185 0.484
Te 0.750 0.292 0.725
Te 0.250 0.708 0.275
U 0.250 0.493 0.693
Te 0.250 0.444 0.124
U 0.750 0.315 0.984
U 0.250 0.007 0.193
Te 0.750 0.556 0.876
U 0.750 0.993 0.807
Te 0.750 0.944 0.376
U 0.250 0.815 0.516
U 0.250 0.685 0.016
```

***

4.
# YUTe6

A crystal of YUTe6 relaxed with PBEsol (meta-GGA SCAN, the Alexandria database). Values from VASP.

SG = Amm2 (38)
Crystal system = orthorhombic
Fermi-level density of states = 10.6 states/eV/f.u.
Theoretical density = 7.8 g/cm3
Total DFT energy (no corrections) = -45.127 eV/atom
Energy relative to the elements, uncorrected = -768 meV/atom

```
&SYSTEM
  ibrav = 0, nat = 8, ntyp = 3
/
ATOMIC_SPECIES
Te 127.60 Te.upf
U 238.03 U.upf
Y 88.91 Y.upf
CELL_PARAMETERS angstrom
-3.402 2.230 1.406
1.308 -0.570 4.070
8.351 9.443 -1.360
ATOMIC_POSITIONS crystal
Te 0.574 0.500 0.149
U 0.167 0.500 0.335
Te 0.928 0.500 0.855
Y 0.832 0.000 0.664
Te 0.074 0.000 0.149
Te 0.427 0.000 0.854
Te 0.294 0.500 0.587
Te 0.704 0.000 0.407
```

***

5.
# V9Te8

A crystal of V9Te8 relaxed with PBEsol (meta-GGA SCAN, the Alexandria database). Values from VASP.

SG = P1 (1)
Crystal system = triclinic
Fermi-level density of states = 7.4 states/eV/f.u.
Theoretical density = 7.3 g/cm3
Total DFT energy (no corrections) = -27.195 eV/atom
Energy relative to the elements, uncorrected = -407 meV/atom

```
&SYSTEM
  ibrav = 0, nat = 17, ntyp = 2
/
ATOMIC_SPECIES
Te 127.60 Te.upf
V 50.94 V.upf
CELL_PARAMETERS angstrom
-3.386 3.035 -5.295
2.856 -4.734 -4.464
-5.488 -4.565 -1.715
ATOMIC_POSITIONS crystal
Te 0.837 0.299 0.714
Te 0.286 0.138 0.888
V 0.496 0.494 0.722
V 0.430 0.805 0.468
V 0.431 0.779 0.921
Te 0.175 0.696 0.289
V 0.569 0.200 0.533
Te 0.741 0.873 0.591
V 0.766 0.583 0.423
Te 0.142 0.672 0.790
Te 0.856 0.323 0.202
Te 0.713 0.855 0.108
V 0.558 0.216 0.078
V 0.499 0.496 0.296
V 0.275 0.425 0.076
V 0.719 0.574 0.907
Te 0.257 0.147 0.412
```

***

6.
# V3Te4

A crystal of V3Te4 relaxed with PBEsol (meta-GGA SCAN, the Alexandria database). Values from VASP.

SG = C2/m (12)
Crystal system = monoclinic
Fermi-level density of states = 4.2 states/eV/f.u.
Theoretical density = 7.5 g/cm3
Total DFT energy (no corrections) = -29.152 eV/atom
Energy relative to the elements, uncorrected = -371 meV/atom

```
&SYSTEM
  ibrav = 0, nat = 7, ntyp = 2
/
ATOMIC_SPECIES
Te 127.60 Te.upf
V 50.94 V.upf
CELL_PARAMETERS angstrom
3.558 0.000 0.000
0.000 6.569 0.024
-1.779 -3.077 6.289
ATOMIC_POSITIONS crystal
Te 0.357 0.026 0.715
Te 0.643 0.974 0.285
Te 0.103 0.447 0.206
Te 0.897 0.553 0.794
V 0.745 0.679 0.491
V 0.000 0.000 0.000
V 0.255 0.321 0.509
```

***

7.
# V5Te8

A crystal of V5Te8 relaxed with PBEsol (meta-GGA SCAN, the Alexandria database). Values from VASP.

SG = C2/m (12)
Crystal system = monoclinic
Fermi-level density of states = 8.0 states/eV/f.u.
Theoretical density = 7.3 g/cm3
Total DFT energy (no corrections) = -30.041 eV/atom
Energy relative to the elements, uncorrected = -391 meV/atom

```
&SYSTEM
  ibrav = 0, nat = 13, ntyp = 2
/
ATOMIC_SPECIES
V 50.94 V.upf
Te 127.60 Te.upf
CELL_PARAMETERS angstrom
-0.106 7.164 -1.165
-5.853 -3.896 -1.803
0.562 -0.828 7.224
ATOMIC_POSITIONS crystal
V 0.223 0.714 0.937
Te 0.706 0.950 0.172
Te 0.778 0.534 0.828
Te 0.765 0.577 0.342
Te 0.309 0.012 0.321
V 0.808 0.308 0.500
Te 0.294 0.050 0.828
Te 0.691 0.988 0.679
V 0.000 0.000 0.000
Te 0.235 0.423 0.658
Te 0.222 0.466 0.172
V 0.777 0.286 0.063
V 0.192 0.692 0.500
```

***

8.
# TeW

A crystal of TeW relaxed with PBEsol (meta-GGA SCAN, the Alexandria database). Values from VASP.

SG = C2/m (12)
Crystal system = monoclinic
Fermi-level density of states = 0.4 states/eV/f.u.
Theoretical density = 10.6 g/cm3
Total DFT energy (no corrections) = -52.987 eV/atom
Relative energy among the computed polymorphs = 65 meV/atom
Energy relative to the elements, uncorrected = 482 meV/atom

```
&SYSTEM
  ibrav = 0, nat = 4, ntyp = 2
/
ATOMIC_SPECIES
W 183.84 W.upf
Te 127.60 Te.upf
CELL_PARAMETERS angstrom
3.355 0.000 0.000
-1.678 4.395 -0.088
0.000 -1.007 6.656
ATOMIC_POSITIONS crystal
W 0.640 0.279 0.947
Te 0.894 0.787 0.729
Te 0.106 0.213 0.271
W 0.360 0.721 0.053
```

***

9.
# TeW3

A crystal of TeW3 relaxed with PBEsol (meta-GGA SCAN, the Alexandria database). Values from VASP.

SG = R-3m (166)
Crystal system = trigonal
Fermi-level density of states = 4.1 states/eV/f.u.
Theoretical density = 16.6 g/cm3
Total DFT energy (no corrections) = -60.644 eV/atom
Energy relative to the elements, uncorrected = 935 meV/atom

```
&SYSTEM
  ibrav = 0, nat = 4, ntyp = 2
/
ATOMIC_SPECIES
W 183.84 W.upf
Te 127.60 Te.upf
CELL_PARAMETERS angstrom
2.899 0.000 0.000
-0.966 5.204 0.000
-0.966 -2.602 4.507
ATOMIC_POSITIONS crystal
W 0.500 0.500 0.000
Te 0.000 0.000 0.000
W 0.000 0.500 0.500
W 0.500 0.000 0.500
```

***

10.
# TeW

A crystal of TeW relaxed with PBEsol (meta-GGA SCAN, the Alexandria database). Values from VASP.

SG = P4/nmm (129)
Crystal system = tetragonal
Fermi-level density of states = 1.2 states/eV/f.u.
Theoretical density = 12.6 g/cm3
Total DFT energy (no corrections) = -53.053 eV/atom
Relative energy among the computed polymorphs = 0 meV/atom
Energy relative to the elements, uncorrected = 417 meV/atom

```
&SYSTEM
  ibrav = 0, nat = 4, ntyp = 2
/
ATOMIC_SPECIES
W 183.84 W.upf
Te 127.60 Te.upf
CELL_PARAMETERS angstrom
-1.703 1.776 -2.024
-1.721 -2.560 -0.798
-5.273 1.699 5.926
ATOMIC_POSITIONS crystal
W 0.000 0.500 0.395
Te 0.000 0.500 0.808
Te 0.500 0.000 0.192
W 0.500 0.000 0.605
```

***

11.
# TeW

A crystal of TeW relaxed with PBEsol (meta-GGA SCAN, the Alexandria database). Values from VASP.

SG = F-43m (216)
Crystal system = cubic
Fermi-level density of states = 2.2 states/eV/f.u.
Theoretical density = 9.4 g/cm3
Total DFT energy (no corrections) = -51.964 eV/atom
Relative energy among the computed polymorphs = 1088 meV/atom
Energy relative to the elements, uncorrected = 1505 meV/atom

```
&SYSTEM
  ibrav = 0, nat = 2, ntyp = 2
/
ATOMIC_SPECIES
W 183.84 W.upf
Te 127.60 Te.upf
CELL_PARAMETERS angstrom
-1.342 1.157 3.890
-4.135 0.851 0.669
-2.385 -2.681 2.324
ATOMIC_POSITIONS crystal
W 0.250 0.250 0.250
Te 0.000 0.000 0.000
```

***

12.
# TeW

A crystal of TeW relaxed with PBEsol (meta-GGA SCAN, the Alexandria database). Values from VASP.

SG = Fd-3m (227)
Crystal system = cubic
Fermi-level density of states = 2.4 states/eV/f.u.
Theoretical density = 13.3 g/cm3
Total DFT energy (no corrections) = -52.065 eV/atom
Relative energy among the computed polymorphs = 987 meV/atom
Energy relative to the elements, uncorrected = 1404 meV/atom

```
&SYSTEM
  ibrav = 0, nat = 4, ntyp = 2
/
ATOMIC_SPECIES
Te 127.60 Te.upf
W 183.84 W.upf
CELL_PARAMETERS angstrom
-3.771 -1.994 -2.189
-3.168 -2.556 2.534
-4.407 1.726 0.768
ATOMIC_POSITIONS crystal
Te 0.250 0.250 0.250
Te 0.000 0.000 0.000
W 0.500 0.500 0.500
W 0.750 0.750 0.750
```